# 1
The following is a DFT calculation (PBE-GGA) of crystalline HoZn2Pt3 at its relaxed geometry.

Computed properties:
Final energy (eV per atom): -5.0578
M_tot (μB per formula unit): 0.0
Energy of formation (eV/atom): -0.850
Crystal system: hexagonal
Fermi-level density of states (states/eV/cell): 2.8

```
12
Lattice="4.405 0.000 0.000 -2.202 3.814 0.000 0.000 0.000 12.250" Properties=species:S:1:pos:R:3 pbc="T T T"
Ho 0.000 0.000 3.063
Ho 0.000 0.000 9.188
Zn 0.000 2.543 1.015
Zn 0.000 2.543 5.111
Zn 2.202 1.271 7.140
Zn 2.202 1.271 11.236
Pt 0.000 0.000 0.000
Pt 0.000 0.000 6.125
Pt 0.000 2.543 7.726
Pt 0.000 2.543 10.649
Pt 2.202 1.271 1.601
Pt 2.202 1.271 4.524
```

# 2
The following is a DFT calculation (PBE-GGA) of crystalline HoZn2Pt2 at its relaxed geometry.

Computed properties:
Final energy (eV per atom): -4.6674
ΔE to the lowest computed polymorph (meV/atom): 0.0
M_tot (μB per formula unit): 0.0
Energy of formation (eV/atom): -0.826
Crystal system: tetragonal
Fermi-level density of states (states/eV/cell): 2.2

```
5
Lattice="-1.894 1.894 6.383 1.894 -1.894 6.383 1.894 1.894 -6.383" Properties=species:S:1:pos:R:3 pbc="T T T"
Ho 0.000 0.000 0.000
Zn 1.894 0.000 3.191
Zn 0.000 1.894 3.191
Pt 0.000 0.000 5.026
Pt 0.000 0.000 7.739
```

# 3
The following is a DFT calculation (PBE-GGA) of crystalline Ho4ZnPt at its relaxed geometry.

Computed properties:
Final energy (eV per atom): -4.8646
ΔE to the lowest computed polymorph (meV/atom): 0.0
M_tot (μB per formula unit): 0.0
Energy of formation (eV/atom): -0.594
Crystal system: cubic
Fermi-level density of states (states/eV/cell): 19.0

```
24
Lattice="0.000 6.714 6.714 6.714 0.000 6.714 6.714 6.714 0.000" Properties=species:S:1:pos:R:3 pbc="T T T"
Ho 6.714 6.714 2.489
Ho 6.714 2.489 6.714
Ho 10.939 6.714 6.714
Ho 5.256 5.256 5.256
Ho 8.172 8.172 5.256
Ho 8.172 5.256 8.172
Ho 10.071 10.071 7.508
Ho 10.071 7.508 10.071
Ho 12.634 10.071 10.071
Ho 2.489 6.714 6.714
Ho 6.714 10.939 6.714
Ho 6.714 6.714 10.939
Ho 5.256 8.172 8.172
Ho 7.508 10.071 10.071
Ho 10.071 12.634 10.071
Ho 10.071 10.071 12.634
Zn 2.264 2.264 2.264
Zn 4.450 4.450 2.264
Zn 4.450 2.264 4.450
Zn 2.264 4.450 4.450
Pt 8.119 5.309 5.309
Pt 5.309 8.119 5.309
Pt 5.309 5.309 8.119
Pt 8.119 8.119 8.119
```

# 4
The following is a DFT calculation (PBE-GGA) of crystalline HoZn4Pt at its relaxed geometry.

Computed properties:
Final energy (eV per atom): -3.0207
ΔE to the lowest computed polymorph (meV/atom): 0.0
M_tot (μB per formula unit): 0.0
Energy of formation (eV/atom): -0.402
Crystal system: cubic
Fermi-level density of states (states/eV/cell): 4.8

```
6
Lattice="0.000 3.661 3.661 3.661 0.000 3.661 3.661 3.661 0.000" Properties=species:S:1:pos:R:3 pbc="T T T"
Ho 0.000 0.000 0.000
Zn 2.750 2.750 2.750
Zn 4.571 4.571 2.750
Zn 4.571 2.750 4.571
Zn 2.750 4.571 4.571
Pt 5.491 5.491 5.491
```

# 5
The following is a DFT calculation (PBE-GGA) of crystalline Ho6Zn2Pt at its relaxed geometry.

Computed properties:
Final energy (eV per atom): -4.2858
ΔE to the lowest computed polymorph (meV/atom): 134.7
M_tot (μB per formula unit): 0.0
Energy of formation (eV/atom): -0.280
Crystal system: orthorhombic
Fermi-level density of states (states/eV/cell): 11.3

```
9
Lattice="-2.458 3.461 7.320 2.458 -3.461 7.320 2.458 3.461 -7.320" Properties=species:S:1:pos:R:3 pbc="T T T"
Ho 2.458 1.708 -2.376
Ho 0.000 1.687 0.000
Ho 2.458 1.708 2.376
Ho 0.000 1.753 4.945
Ho 0.000 5.235 0.000
Ho 0.000 1.753 9.696
Zn 2.458 0.000 4.873
Zn 0.000 3.461 2.447
Pt 2.458 0.000 0.000
```

# 6
The following is a DFT calculation (PBE-GGA) of crystalline Ho6Zn2Pt at its relaxed geometry.

Computed properties:
Final energy (eV per atom): -4.4204
ΔE to the lowest computed polymorph (meV/atom): 0.0
M_tot (μB per formula unit): 0.0
Energy of formation (eV/atom): -0.414
Crystal system: orthorhombic
Fermi-level density of states (states/eV/cell): 15.6

```
18
Lattice="-4.774 4.774 4.957 4.774 -4.774 4.957 4.774 4.774 -4.957" Properties=species:S:1:pos:R:3 pbc="T T T"
Ho 4.774 3.112 -2.771
Ho 3.114 0.000 2.523
Ho 6.434 0.000 2.523
Ho 2.960 2.483 0.000
Ho 6.588 2.483 0.000
Ho 0.000 1.662 2.186
Ho 4.774 3.112 2.771
Ho -1.814 2.291 4.957
Ho 1.814 2.291 4.957
Ho -1.660 4.774 2.433
Ho 1.660 4.774 2.433
Ho 0.000 1.662 7.727
Zn 1.291 0.000 0.000
Zn 8.256 0.000 0.000
Zn 0.000 3.550 0.000
Zn 0.000 5.999 0.000
Pt 4.774 0.000 0.000
Pt 0.000 0.000 4.957
```

# 7
The following is a DFT calculation (PBE-GGA) of crystalline Ho2Zn15Pt2 at its relaxed geometry.

Computed properties:
Final energy (eV per atom): -2.4589
M_tot (μB per formula unit): 0.0
Energy of formation (eV/atom): -0.335
Crystal system: trigonal
Fermi-level density of states (states/eV/cell): 7.7

```
19
Lattice="4.479 2.586 4.395 -4.479 2.586 4.395 0.000 -5.171 4.395" Properties=species:S:1:pos:R:3 pbc="T T T"
Ho 0.000 0.000 2.179
Ho 0.000 0.000 11.005
Zn -2.239 -1.293 4.395
Zn 0.000 -2.639 4.174
Zn -2.285 1.319 4.174
Zn -1.289 -2.233 6.592
Zn -2.578 0.000 6.592
Zn -2.285 -1.319 9.010
Zn -2.239 1.293 8.789
Zn 1.289 -2.233 6.592
Zn 0.000 2.586 4.395
Zn -1.289 2.233 6.592
Zn 2.285 1.319 4.174
Zn 2.578 0.000 6.592
Zn 1.289 2.233 6.592
Zn 2.285 -1.319 9.010
Zn 0.000 2.639 9.010
Pt 0.000 0.000 5.105
Pt 0.000 0.000 8.079
```

# 8
The following is a DFT calculation (PBE-GGA) of crystalline Ho3Zn8Pt at its relaxed geometry.

Computed properties:
Final energy (eV per atom): -2.8811
M_tot (μB per formula unit): 0.0
Energy of formation (eV/atom): -0.384
Crystal system: trigonal
Fermi-level density of states (states/eV/cell): 6.9

```
12
Lattice="2.635 1.521 8.868 -2.635 1.521 8.868 0.000 -3.043 8.868" Properties=species:S:1:pos:R:3 pbc="T T T"
Ho 0.000 0.000 0.000
Ho 0.000 0.000 3.372
Ho 0.000 0.000 13.663
Zn -1.324 -0.764 10.608
Zn 0.000 -1.520 6.261
Zn -1.316 0.760 6.261
Zn 0.000 0.000 8.423
Zn 1.324 -0.764 10.608
Zn 0.000 1.528 10.608
Zn 1.316 0.760 6.261
Zn 0.000 0.000 21.766
Pt 0.000 0.000 16.597
```

# 9
The following is a DFT calculation (PBE-GGA) of crystalline Ho2ZnPt at its relaxed geometry.

Computed properties:
Final energy (eV per atom): -4.9266
M_tot (μB per formula unit): 0.0
Energy of formation (eV/atom): -0.809
Crystal system: cubic
Fermi-level density of states (states/eV/cell): 1.2

```
4
Lattice="0.000 3.507 3.507 3.507 0.000 3.507 3.507 3.507 0.000" Properties=species:S:1:pos:R:3 pbc="T T T"
Ho 1.754 1.754 1.754
Ho 5.261 5.261 5.261
Zn 0.000 0.000 0.000
Pt 3.507 3.507 3.507
```

# 10
The following is a DFT calculation (PBE-GGA) of crystalline Ho2Zn16Pt at its relaxed geometry.

Computed properties:
Final energy (eV per atom): -2.1611
M_tot (μB per formula unit): 0.0
Energy of formation (eV/atom): -0.289
Crystal system: trigonal
Fermi-level density of states (states/eV/cell): 6.5

```
19
Lattice="4.477 2.585 4.379 -4.477 2.585 4.379 0.000 -5.170 4.379" Properties=species:S:1:pos:R:3 pbc="T T T"
Ho 0.000 0.000 0.000
Ho 0.000 0.000 4.346
Zn 0.000 -2.539 2.414
Zn -2.199 1.270 2.414
Zn -2.246 -1.297 6.595
Zn 0.000 -2.685 6.380
Zn -2.326 1.343 6.380
Zn -1.317 -2.274 8.794
Zn -2.628 -0.004 8.794
Zn 2.199 1.270 2.414
Zn 0.000 0.000 7.444
Zn 2.246 -1.297 6.595
Zn 0.000 2.594 6.595
Zn 1.317 -2.274 8.794
Zn -1.311 2.277 8.794
Zn 2.326 1.343 6.380
Zn 2.628 -0.004 8.794
Zn 1.311 2.277 8.794
Pt 0.000 0.000 10.121
```

# 11
The following is a DFT calculation (PBE-GGA) of crystalline Ho3Zn3Pt at its relaxed geometry.

Computed properties:
Final energy (eV per atom): -3.9493
M_tot (μB per formula unit): 0.0
Energy of formation (eV/atom): -0.578
Crystal system: orthorhombic
Fermi-level density of states (states/eV/cell): 5.8

```
7
Lattice="-1.823 2.227 9.444 1.823 -2.227 9.444 1.823 2.227 -9.444" Properties=species:S:1:pos:R:3 pbc="T T T"
Ho 0.000 0.000 0.000
Ho 0.000 0.000 7.117
Ho 0.000 2.227 3.818
Zn 1.823 0.000 2.360
Zn 0.000 0.000 10.438
Zn 0.000 0.000 15.805
Pt 1.823 0.000 4.917
```

# 12
The following is a DFT calculation (PBE-GGA) of crystalline HoZn5Pt3 at its relaxed geometry.

Computed properties:
Final energy (eV per atom): -3.7848
M_tot (μB per formula unit): 0.0
Energy of formation (eV/atom): -0.555
Crystal system: orthorhombic
Fermi-level density of states (states/eV/cell): 3.6

```
18
Lattice="1.943 -6.948 0.000 1.943 6.948 0.000 0.000 0.000 11.785" Properties=species:S:1:pos:R:3 pbc="T T T"
Ho 1.943 4.254 8.838
Ho 1.943 -4.254 2.946
Zn 0.000 0.000 0.000
Zn 0.000 0.000 5.892
Zn 1.943 4.213 0.506
Zn 1.943 4.213 5.387
Zn 1.943 0.847 7.540
Zn 1.943 0.847 10.137
Zn 1.943 -0.847 1.647
Zn 1.943 -0.847 4.245
Zn 1.943 -4.213 6.398
Zn 1.943 -4.213 11.279
Pt 1.943 5.018 2.946
Pt 1.943 1.626 0.921
Pt 1.943 1.626 4.971
Pt 1.943 -1.626 6.813
Pt 1.943 -1.626 10.863
Pt 1.943 -5.018 8.838
```